# 1
Compound: Mg2TaW
Source: the Alexandria database
Functional: PBE
Structure: optimized geometry

abc: 3.1969 5.0048 9.4264
angles: 90.00 90.00 90.00
Last column: nearest neighbours and their distance in Å.
Element x y z (fractional)
Mg 0.0000 0.0000 0.0000  2 W 2.90, 4 Mg 2.92-3.20, 4 Ta 2.98
Mg 0.0000 0.5000 0.2410  4 Mg 2.92-3.20, 4 W 2.97, 2 Ta 3.02
Mg 0.5000 0.0000 0.7410  4 Mg 2.92-3.20, 4 W 2.97, 2 Ta 3.02
Mg 0.5000 0.5000 0.5000  2 W 2.90, 4 Mg 2.92-3.20, 4 Ta 2.98
Ta 0.0000 0.0000 0.4688  2 W 2.56
Ta 0.5000 0.5000 0.9688  2 W 2.56
W 0.0000 0.5000 0.7563  2 Ta 2.56
W 0.5000 0.0000 0.2563  2 Ta 2.56

The formation energy from the elements is 445 meV per atom. Its polymorph energy (0 for the lowest one) is 0.245 eV/atom.

# 2
Compound: Pm8YTm2
Source: the Alexandria database
Functional: PBE
Structure: optimized geometry

abc: 10.2646 10.2646 5.6664
angles: 93.21 93.21 40.19
Last column: nearest neighbours and their distance in Å.
Element x y z (fractional)
Pm 0.0449 0.0449 0.2356  1 Pm 3.09, 1 Tm 3.28
Pm 0.1004 0.6342 0.2689  4 Pm 3.29-3.62, 3 Tm 3.48-3.67, 1 Y 3.59
Pm 0.3120 0.3120 0.7704  4 Tm 3.37-3.57, 4 Pm 3.51-3.62
Pm 0.3658 0.8996 0.7311  4 Pm 3.29-3.62, 3 Tm 3.48-3.67, 1 Y 3.59
Pm 0.6342 0.1004 0.2689  4 Pm 3.29-3.62, 3 Tm 3.48-3.67, 1 Y 3.59
Pm 0.6880 0.6880 0.2296  4 Tm 3.37-3.57, 4 Pm 3.51-3.62
Pm 0.8996 0.3658 0.7311  4 Pm 3.29-3.62, 3 Tm 3.48-3.67, 1 Y 3.59
Pm 0.9551 0.9551 0.7644  1 Pm 3.09, 1 Tm 3.28
Y 0.5000 0.5000 0.0000  10 Pm 3.59-3.85
Tm 0.2153 0.2153 0.2547  11 Pm 3.28-3.67
Tm 0.7847 0.7847 0.7453  11 Pm 3.28-3.67

The formation energy from the elements is 154 meV per atom. Its polymorph energy (0 for the lowest one) is 0.000 eV/atom.

# 3
Compound: Pm2TiGe4
Source: the Alexandria database
Functional: PBE
Structure: optimized geometry

abc: 6.1720 6.1684 6.1551
angles: 60.11 60.05 59.84
Last column: nearest neighbours and their distance in Å.
Element x y z (fractional)
Pm 0.2500 0.2500 0.2500  8 Ge 3.10-3.11
Pm 0.7500 0.7500 0.7500  8 Ge 3.10-3.11
Ti 0.0000 0.0000 0.0000  4 Ge 2.54
Ge 0.2911 0.7089 0.2911  1 Ti 2.54, 2 Ge 2.57
Ge 0.2915 0.7085 0.7085  1 Ti 2.54, 2 Ge 2.57
Ge 0.7085 0.2915 0.2915  1 Ti 2.54, 2 Ge 2.57
Ge 0.7089 0.2911 0.7089  1 Ti 2.54, 2 Ge 2.57

The formation energy from the elements is -490 meV per atom.

# 4
Compound: Hf11Sc
Source: the Alexandria database
Functional: PBE
Structure: optimized geometry

abc: 10.0273 10.0273 3.1113
angles: 90.00 90.00 120.00
Last column: nearest neighbours and their distance in Å.
Element x y z (fractional)
Hf 0.0000 0.5000 0.0000  12 Hf 2.89-3.23
Hf 0.1747 0.3494 0.5000  10 Hf 3.03-3.23
Hf 0.1747 0.8253 0.5000  10 Hf 3.03-3.23
Hf 0.3333 0.6667 0.0000  11 Hf 2.89-3.16
Hf 0.3494 0.1747 0.5000  10 Hf 3.03-3.23
Hf 0.5000 0.0000 0.0000  12 Hf 2.89-3.23
Hf 0.5000 0.5000 0.0000  12 Hf 2.89-3.23
Hf 0.6506 0.8253 0.5000  10 Hf 3.03-3.23
Hf 0.6667 0.3333 0.0000  11 Hf 2.89-3.16
Hf 0.8253 0.1747 0.5000  10 Hf 3.03-3.23
Hf 0.8253 0.6506 0.5000  10 Hf 3.03-3.23
Sc 0.0000 0.0000 0.0000  2 Sc 3.11, 12 Hf 3.41

The formation energy from the elements is 63 meV per atom.

# 5
Compound: Pr2NiBr
Source: the Alexandria database
Functional: PBE
Structure: optimized geometry

abc: 3.5043 3.5043 8.2684
angles: 90.00 90.00 90.00
Last column: nearest neighbours and their distance in Å.
Element x y z (fractional)
Pr 0.0000 0.0000 0.2094  4 Ni 3.02
Pr 0.0000 0.0000 0.7906  4 Ni 3.02
Ni 0.5000 0.5000 0.0000  8 Pr 3.02
Br 0.5000 0.5000 0.5000  8 Pr 3.45, 4 Br 3.50

The energy relative to the elements, uncorrected comes out at -631.1 meV/atom. Its polymorph energy (0 for the lowest one) is 0.163 eV/atom.

# 6
Compound: Cs2HgGe
Source: the Alexandria database
Functional: PBE
Structure: optimized geometry

abc: 10.6303 8.6605 9.7684
angles: 90.00 102.40 90.00
Last column: nearest neighbours and their distance in Å.
Element x y z (fractional)
Cs 0.2478 0.2372 0.3136  3 Ge 3.79-4.06, 3 Hg 3.79-3.89
Cs 0.2478 0.2628 0.8136  3 Ge 3.79-4.06, 3 Hg 3.79-3.89
Cs 0.2497 0.7374 0.0724  3 Hg 3.76-3.88, 3 Ge 3.76-4.01
Cs 0.2497 0.7626 0.5724  3 Hg 3.76-3.88, 3 Ge 3.76-4.01
Cs 0.7503 0.2374 0.4276  3 Hg 3.76-3.88, 3 Ge 3.76-4.01
Cs 0.7503 0.2626 0.9276  3 Hg 3.76-3.88, 3 Ge 3.76-4.01
Cs 0.7522 0.7372 0.1864  3 Ge 3.79-4.06, 3 Hg 3.79-3.89
Cs 0.7522 0.7628 0.6864  3 Ge 3.79-4.06, 3 Hg 3.79-3.89
Hg 0.4998 0.0945 0.6349  2 Ge 2.88-2.92, 1 Hg 3.10
Hg 0.4998 0.4055 0.1349  2 Ge 2.88-2.92, 1 Hg 3.10
Hg 0.5002 0.5945 0.8651  2 Ge 2.88-2.92, 1 Hg 3.10
Hg 0.5002 0.9055 0.3651  2 Ge 2.88-2.92, 1 Hg 3.10
Ge 0.4835 0.5707 0.3868  1 Ge 2.49
Ge 0.4835 0.9293 0.8868  1 Ge 2.49
Ge 0.5165 0.0707 0.1132  1 Ge 2.49
Ge 0.5165 0.4293 0.6132  1 Ge 2.49

The formation energy from the elements is -117 meV per atom. Its polymorph energy (0 for the lowest one) is 0.060 eV/atom.

# 7
Compound: PmPd6Pb2
Source: the Alexandria database
Functional: PBE
Structure: optimized geometry

abc: 5.6013 5.6013 7.2965
angles: 90.00 90.00 120.00
Last column: nearest neighbours and their distance in Å.
Element x y z (fractional)
Pm 0.0000 0.0000 0.0000  12 Pd 3.11
Pd 0.0000 0.5000 0.1853  5 Pd 2.70-2.80, 2 Pb 2.81
Pd 0.0000 0.5000 0.8147  5 Pd 2.70-2.80, 2 Pb 2.81
Pd 0.5000 0.0000 0.1853  5 Pd 2.70-2.80, 2 Pb 2.81
Pd 0.5000 0.0000 0.8147  5 Pd 2.70-2.80, 2 Pb 2.81
Pd 0.5000 0.5000 0.1853  5 Pd 2.70-2.80, 2 Pb 2.81
Pd 0.5000 0.5000 0.8147  5 Pd 2.70-2.80, 2 Pb 2.81
Pb 0.3333 0.6667 0.5000  6 Pd 2.81
Pb 0.6667 0.3333 0.5000  6 Pd 2.81

The formation energy from the elements is -346 meV per atom.

# 8
Compound: CdRhCl2
Source: the Alexandria database
Functional: PBE
Structure: optimized geometry

abc: 3.2881 5.9722 9.1762
angles: 90.00 90.00 90.00
Last column: nearest neighbours and their distance in Å.
Element x y z (fractional)
Cd 0.0000 0.0000 0.0000  6 Cd 3.29-3.41, 4 Cl 3.33
Cd 0.5000 0.5000 0.0000  6 Cd 3.29-3.41, 4 Cl 3.33
Rh 0.0000 0.0000 0.5000  4 Cl 2.36
Rh 0.5000 0.5000 0.5000  4 Cl 2.36
Cl 0.0000 0.5000 0.3160  2 Rh 2.36
Cl 0.0000 0.5000 0.6840  2 Rh 2.36
Cl 0.5000 0.0000 0.3160  2 Rh 2.36
Cl 0.5000 0.0000 0.6840  2 Rh 2.36

The energy relative to the elements, uncorrected comes out at -117.0 meV/atom. Its polymorph energy (0 for the lowest one) is 0.246 eV/atom.

# 9
Compound: TaFe2IrAu
Source: the Alexandria database
Functional: PBE
Structure: optimized geometry

abc: 4.5253 4.5253 4.9684
angles: 90.00 90.00 90.00
Last column: nearest neighbours and their distance in Å.
Element x y z (fractional)
Ta 0.0000 0.0000 0.0000  4 Ir 3.20, 8 Fe 3.36
Fe 0.0000 0.5000 0.5000  2 Au 2.26
Fe 0.5000 0.0000 0.5000  2 Au 2.26
Ir 0.5000 0.5000 0.0000  2 Au 2.48
Au 0.5000 0.5000 0.5000  4 Fe 2.26, 2 Ir 2.48

The formation energy from the elements is 1733 meV per atom.

# 10
Compound: La3YSb
Source: the Alexandria database
Functional: PBE
Structure: optimized geometry

abc: 6.0460 6.0460 6.0460
angles: 90.00 90.00 90.00
Last column: nearest neighbours and their distance in Å.
Element x y z (fractional)
La 0.0000 0.0000 0.5000  2 Sb 3.02
La 0.0000 0.5000 0.0000  2 Sb 3.02
La 0.5000 0.0000 0.0000  2 Sb 3.02
Y 0.5000 0.5000 0.5000  12 La 4.28
Sb 0.0000 0.0000 0.0000  6 La 3.02

The energy relative to the elements, uncorrected comes out at -7.8 meV/atom. Its polymorph energy (0 for the lowest one) is 0.000 eV/atom.

Number 1: V 18.85 Å³/atom, E -6.553 eV per atom. Number 2: V 34.96 Å³/atom, E -4.702 eV per atom. Number 3: V 23.67 Å³/atom, E -5.614 eV per atom. Number 4: V 22.58 Å³/atom, E -9.589 eV per atom. Number 5: V 25.38 Å³/atom, E -4.884 eV per atom. Number 6: V 54.90 Å³/atom, E -1.774 eV per atom. Number 7: V 22.03 Å³/atom, E -5.160 eV per atom. Number 8: V 22.52 Å³/atom, E -3.107 eV per atom. Number 9: V 20.35 Å³/atom, E -6.451 eV per atom. Number 10: V 44.20 Å³/atom, E -5.082 eV per atom.